Record 1
The following is a PBE-GGA calculation of crystalline KPdBr3 at its relaxed geometry, from the Alexandria database.

The structure in extended XYZ format:
```
10
Lattice="6.117 0.000 0.000 -2.006 6.614 0.000 -0.256 -1.074 9.220" Properties=species:S:1:pos:R:3 pbc="T T T"
K 0.351 2.172 1.239
K 3.504 3.368 7.982
Pd -0.463 0.293 6.175
Pd 4.319 5.247 3.046
Br -0.266 5.688 1.181
Br 1.093 0.587 4.275
Br 0.423 2.302 7.280
Br 3.433 3.238 1.941
Br 2.762 4.953 4.945
Br 4.121 -0.148 8.040
```

Summary:
Crystal system ... triclinic
Formation energy from raw total energies ... -0.8861 eV/atom
Space group ... P-1
Volume ... 186.50 Å³/f.u.
Energy ... -31.48 eV per cell

Record 2
The following is a PBE-GGA calculation of crystalline K4PdBr6 at its relaxed geometry, from the Alexandria database.

The structure in extended XYZ format:
```
22
Lattice="8.989 0.000 0.000 0.000 8.989 0.000 0.000 0.000 9.374" Properties=species:S:1:pos:R:3 pbc="T T T"
K 1.605 2.889 2.343
K 1.605 2.889 7.030
K 2.889 7.384 2.343
K 2.889 7.384 7.030
K 6.100 1.605 2.343
K 6.100 1.605 7.030
K 7.384 6.100 2.343
K 7.384 6.100 7.030
Pd 0.000 0.000 0.000
Pd 4.495 4.495 4.687
Br 0.000 0.000 2.692
Br 0.000 0.000 6.682
Br 0.757 6.339 0.000
Br 1.844 5.251 4.687
Br 2.650 0.757 0.000
Br 3.738 1.844 4.687
Br 4.495 4.495 1.995
Br 4.495 4.495 7.379
Br 5.251 7.145 4.687
Br 6.339 8.232 0.000
Br 7.145 3.738 4.687
Br 8.232 2.650 0.000
```

Summary:
Crystal system ... tetragonal
Formation energy from raw total energies ... -1.2966 eV/atom
Space group ... P4/mnc
Volume ... 378.73 Å³/f.u.
Energy ... -67.77 eV per cell

Record 3
The following is a PBE-GGA calculation of crystalline K3Pd5Br12 at its relaxed geometry, from the Alexandria database.

The structure in extended XYZ format:
```
80
Lattice="-8.538 8.538 8.538 8.538 -8.538 8.538 8.538 8.538 -8.538" Properties=species:S:1:pos:R:3 pbc="T T T"
K 4.269 2.134 0.000
K 8.538 4.269 -2.134
K 2.134 0.000 4.269
K 10.672 0.000 4.269
K 0.000 4.269 2.134
K 4.269 -2.134 8.538
K 4.269 10.672 0.000
K 8.538 4.269 6.403
K -2.134 8.538 4.269
K 6.403 8.538 4.269
K 0.000 4.269 10.672
K 4.269 6.403 8.538
Pd 0.000 0.000 0.000
Pd 4.269 4.269 -4.269
Pd 4.269 -4.269 4.269
Pd 8.538 0.000 0.000
Pd 12.807 2.134 0.000
Pd 8.538 -4.269 6.403
Pd 6.403 8.538 -4.269
Pd 6.403 0.000 4.269
Pd 4.269 6.403 0.000
Pd 8.538 4.269 2.134
Pd -4.269 4.269 4.269
Pd 0.000 8.538 0.000
Pd 0.000 0.000 8.538
Pd 4.269 4.269 4.269
Pd 0.000 4.269 6.403
Pd 4.269 2.134 8.538
Pd 2.134 8.538 4.269
Pd 2.134 0.000 12.807
Pd 0.000 12.807 2.134
Pd -4.269 6.403 8.538
Br 2.430 -0.542 0.772
Br 10.377 5.041 -4.811
Br 10.968 0.542 0.772
Br 10.377 -3.497 4.811
Br 7.996 -0.772 2.430
Br 13.349 -1.839 3.497
Br 0.772 2.430 -0.542
Br 12.035 3.727 -1.839
Br 5.041 4.811 -1.839
Br 7.766 2.430 0.542
Br -0.542 0.772 2.430
Br 4.811 -1.839 5.041
Br 7.996 7.766 -2.430
Br 4.811 1.839 3.497
Br 5.041 -4.811 10.377
Br 7.766 -2.430 7.996
Br 3.497 4.811 1.839
Br 9.310 6.108 0.542
Br 4.811 10.377 -3.497
Br 7.996 0.772 6.108
Br 2.430 7.996 -0.772
Br 10.377 3.497 3.727
Br 1.839 3.497 4.811
Br 2.430 0.542 7.766
Br 6.108 7.996 0.772
Br 6.699 5.041 3.727
Br -1.839 5.041 4.811
Br 6.108 0.542 9.310
Br 0.542 7.766 2.430
Br 3.727 -1.839 12.035
Br -0.772 2.430 7.996
Br 5.041 3.727 6.699
Br 0.772 10.968 0.542
Br 3.497 13.349 -1.839
Br 3.727 6.699 5.041
Br 0.542 0.772 10.968
Br 3.727 10.377 3.497
Br 9.080 7.766 6.108
Br 0.772 6.108 7.996
Br 3.497 3.727 10.377
Br -3.497 4.811 10.377
Br 7.766 6.108 9.080
Br -4.811 10.377 5.041
Br 0.542 9.310 6.108
Br -1.839 12.035 3.727
Br -2.430 7.996 7.766
Br -1.839 3.497 13.349
Br 6.108 9.080 7.766
```

Summary:
Crystal system ... cubic
Formation energy from raw total energies ... -0.6146 eV/atom
Space group ... Ia-3d
Volume ... 622.37 Å³/f.u.
Energy ... -246.49 eV per cell

Record 4
The following is a PBE-GGA calculation of crystalline KPdBr2 at its relaxed geometry, from the Alexandria database.

The structure in extended XYZ format:
```
4
Lattice="0.000 3.719 3.719 3.719 0.000 3.719 3.719 3.719 0.000" Properties=species:S:1:pos:R:3 pbc="T T T"
K 0.000 0.000 0.000
Pd 3.719 3.719 3.719
Br 1.859 1.859 1.859
Br 5.578 5.578 5.578
```

Summary:
Crystal system ... cubic
Formation energy from raw total energies ... -0.4815 eV/atom
Relative energy among the computed polymorphs ... 234.6 meV/atom
Space group ... Fm-3m
Volume ... 102.84 Å³/f.u.
Energy ... -11.56 eV per cell

Record 5
The following is a PBE-GGA calculation of crystalline K6Pd3Br14 at its relaxed geometry, from the Alexandria database.

The structure in extended XYZ format:
```
23
Lattice="11.517 0.000 0.000 -5.759 9.974 0.000 0.000 0.000 7.529" Properties=species:S:1:pos:R:3 pbc="T T T"
K -2.814 5.788 0.000
K 2.786 0.768 3.538
K 2.153 4.643 0.000
K 0.661 9.517 0.000
K 5.031 7.178 3.538
K 9.459 2.028 3.538
Pd 0.000 0.000 6.898
Pd 0.000 6.649 3.287
Pd 5.759 3.325 2.014
Br 0.000 0.000 1.943
Br -4.175 8.405 5.674
Br 0.567 2.157 5.674
Br -0.380 4.488 2.016
Br -1.682 8.059 2.016
Br 0.000 6.649 5.861
Br 4.165 1.992 0.556
Br 3.796 3.989 3.456
Br 2.062 7.401 2.016
Br 6.165 1.293 3.456
Br 5.402 5.371 0.556
Br 3.607 9.387 5.674
Br 7.709 2.611 0.556
Br 7.316 4.693 3.456
```

Summary:
Crystal system ... trigonal
Formation energy from raw total energies ... -0.9499 eV/atom
Space group ... P3
Volume ... 864.90 Å³/f.u.
Energy ... -67.43 eV per cell

Record 6
The following is a PBE-GGA calculation of crystalline KPdBr2 at its relaxed geometry, from the Alexandria database.

The structure in extended XYZ format:
```
8
Lattice="-3.189 3.189 7.206 3.189 -3.189 7.206 3.189 3.189 -7.206" Properties=species:S:1:pos:R:3 pbc="T T T"
K 0.000 0.000 0.000
K 0.000 3.189 3.603
Pd 3.189 0.000 3.603
Pd 0.000 0.000 7.206
Br 1.595 -1.035 5.405
Br 2.154 1.595 1.802
Br 1.595 4.224 -1.802
Br 1.035 1.595 9.008
```

Summary:
Crystal system ... tetragonal
Formation energy from raw total energies ... -0.7161 eV/atom
Relative energy among the computed polymorphs ... 0.0 meV/atom
Space group ... I-42d
Volume ... 146.57 Å³/f.u.
Energy ... -25.00 eV per cell

Record 7
The following is a PBE-GGA calculation of crystalline KPdBr4 at its relaxed geometry, from the Alexandria database.

The structure in extended XYZ format:
```
12
Lattice="5.204 0.000 0.000 0.000 10.798 0.000 -0.115 0.000 7.965" Properties=species:S:1:pos:R:3 pbc="T T T"
K 0.607 2.699 3.223
K 4.481 8.098 4.742
Pd 1.960 8.098 1.314
Pd 3.129 2.699 6.651
Br 0.505 2.699 6.805
Br 1.917 6.372 3.122
Br 1.861 8.098 6.790
Br 1.917 9.825 3.122
Br 3.172 0.973 4.843
Br 3.227 2.699 1.175
Br 3.172 4.426 4.843
Br 4.583 8.098 1.160
```

Summary:
Crystal system ... monoclinic
Formation energy from raw total energies ... -0.6385 eV/atom
Space group ... P2_1/m
Volume ... 223.78 Å³/f.u.
Energy ... -33.63 eV per cell

Record 8
The following is a PBE-GGA calculation of crystalline KPd2Br6 at its relaxed geometry, from the Alexandria database.

The structure in extended XYZ format:
```
9
Lattice="6.855 0.000 0.000 -3.427 5.936 0.000 0.000 0.000 7.302" Properties=species:S:1:pos:R:3 pbc="T T T"
K 0.000 0.000 0.000
Pd 0.000 3.957 3.651
Pd 3.427 1.979 3.651
Br -1.280 2.217 5.134
Br -2.147 3.719 2.168
Br 2.560 0.000 5.134
Br 1.280 2.217 2.168
Br 4.295 0.000 2.168
Br 2.147 3.719 5.134
```

Summary:
Crystal system ... trigonal
Formation energy from raw total energies ... -0.5259 eV/atom
Relative energy among the computed polymorphs ... 52.2 meV/atom
Space group ... P-31m
Volume ... 297.12 Å³/f.u.
Energy ... -26.25 eV per cell

Record 9
The following is a PBE-GGA calculation of crystalline KPd3Br at its relaxed geometry, from the Alexandria database.

The structure in extended XYZ format:
```
5
Lattice="4.917 0.000 0.000 0.000 4.917 0.000 0.000 0.000 4.917" Properties=species:S:1:pos:R:3 pbc="T T T"
K 0.000 0.000 0.000
Pd 0.000 2.458 2.458
Pd 2.458 0.000 2.458
Pd 2.458 2.458 0.000
Br 2.458 2.458 2.458
```

Summary:
Crystal system ... cubic
Formation energy from raw total energies ... 0.1788 eV/atom
Relative energy among the computed polymorphs ... 0.0 meV/atom
Space group ... Pm-3m
Volume ... 118.87 Å³/f.u.
Energy ... -17.45 eV per cell

Record 10
The following is a PBE-GGA calculation of crystalline KPuPdBr6 at its relaxed geometry, from the Alexandria database.

The structure in extended XYZ format:
```
18
Lattice="7.049 0.000 0.000 -3.524 6.104 0.000 0.000 0.000 15.106" Properties=species:S:1:pos:R:3 pbc="T T T"
K 0.000 0.000 0.000
K 0.000 0.000 7.553
Pu 0.000 4.070 3.777
Pu 3.524 2.035 11.330
Pd 0.000 4.070 11.330
Pd 3.524 2.035 3.777
Br -1.212 2.246 9.701
Br -2.185 3.932 12.959
Br 1.212 2.246 12.959
Br -0.974 6.031 9.701
Br 2.551 0.073 2.147
Br 1.339 2.172 5.406
Br 2.185 3.932 9.701
Br 0.974 6.031 12.959
Br 4.498 0.073 5.406
Br 2.313 3.859 2.147
Br 5.710 2.172 2.147
Br 4.736 3.859 5.406
```

Summary:
Crystal system ... trigonal
Formation energy from raw total energies ... -1.1218 eV/atom
Space group ... P-31c
Volume ... 324.99 Å³/f.u.
Energy ... -81.51 eV per cell

Record 11
The following is a PBE-GGA calculation of crystalline KPdRuBr6 at its relaxed geometry, from the Alexandria database.

The structure in extended XYZ format:
```
9
Lattice="6.761 0.000 0.000 -3.380 5.855 0.000 0.000 0.000 7.328" Properties=species:S:1:pos:R:3 pbc="T T T"
K 0.000 0.000 0.000
Pd 3.380 1.952 3.664
Ru 0.000 3.903 3.664
Br -1.152 2.169 5.085
Br -2.078 3.773 2.243
Br 1.152 2.169 2.243
Br -0.926 5.768 5.085
Br 2.078 3.773 5.085
Br 0.926 5.768 2.243
```

Summary:
Crystal system ... trigonal
Formation energy from raw total energies ... -0.5404 eV/atom
Space group ... P312
Volume ... 290.09 Å³/f.u.
Energy ... -30.47 eV per cell

Record 12
The following is a PBE-GGA calculation of crystalline KPdSeBr6 at its relaxed geometry, from the Alexandria database.

The structure in extended XYZ format:
```
9
Lattice="6.958 0.000 0.000 -0.957 7.072 0.000 -0.903 -2.131 6.790" Properties=species:S:1:pos:R:3 pbc="T T T"
K 0.000 0.000 0.000
Pd 2.572 0.713 4.687
Se 2.547 3.876 2.356
Br 1.204 4.336 0.372
Br 1.205 1.500 2.776
Br 0.514 5.608 4.601
Br 3.688 0.170 6.790
Br 3.923 2.779 4.485
Br 3.865 5.925 2.506
```

Summary:
Crystal system ... triclinic
Formation energy from raw total energies ... -0.4969 eV/atom
Space group ... P1
Volume ... 334.17 Å³/f.u.
Energy ... -24.28 eV per cell